VASP calculation (PBE) on crystalline NbPtRh3 at its relaxed geometry.

```
5
Lattice="4.648 0.000 0.000 0.000 4.648 0.000 0.000 0.000 4.648" Properties=species:S:1:pos:R:3 pbc="T T T"
Nb 0.000 0.000 0.000
Pt 2.324 2.324 2.324
Rh 0.000 0.000 2.324
Rh 0.000 2.324 0.000
Rh 2.324 0.000 0.000
```

Computed properties:
calculated formation energy	1.1439	eV/atom
density	9.9	g cm⁻³
crystal system	cubic
ΔE to the lowest computed polymorph	1249	meV per atom
space-group type	Pm-3m, No. 221
E	-6.489	eV per atom


VASP calculation (PBE) on crystalline Pm2InGaAu6 at its relaxed geometry.

```
10
Lattice="5.522 0.000 0.000 2.665 6.327 0.000 2.675 -0.976 6.326" Properties=species:S:1:pos:R:3 pbc="T T T"
Pm 2.727 1.423 1.585
Pm 8.135 3.928 4.741
In 0.000 0.000 0.000
Ga 5.431 2.676 3.163
Au 3.994 4.771 2.086
Au 5.374 2.686 5.774
Au 4.110 0.488 4.275
Au 6.752 4.863 2.051
Au 5.488 2.665 0.552
Au 6.868 0.580 4.240
```

Computed properties:
calculated formation energy	-0.4628	eV/atom
density	12.4	g cm⁻³
crystal system	triclinic
space-group type	P-1, No. 2
E	-3.956	eV per atom